TlTeN2: relaxed, GGA-PBEsol.

For the density of states at the Fermi level, the calculation gives 4.706 states/eV/cell. The total magnetic moment is 0.0 μB/cell. As for the total energy: -4.80 eV/atom. The value obtained for the calculated density is 8.72 Mg/m³. As for the crystal system: trigonal. For the uncorrected formation energy, the calculation gives 23.1 kcal/mol of atoms.

The structure belongs to space group R-3m (No. 166, hexagonal axes); the cell edges are 3.4998, 3.4998 and 19.3909 Å and the angles 90.00°, 90.00° and 120.00°. Symmetry generates all atoms from Tl at (0.0000, 0.0000, 0.0000), Te at (0.0000, 0.0000, 0.5000) and N at (0.0000, 0.0000, 0.3943).